First-principles (GGA-PBEsol) data for a relaxed structure of PCl5, as listed in the Alexandria database.

The structure belongs to space group P4/n (No. 85, origin choice 2); the cell edges are 9.299, 9.299 and 7.434 Å and the angles 90.00°, 90.00° and 90.00°. Symmetry generates all atoms from P at (0.250, 0.250, 0.104), P at (0.250, 0.750, 0.500), Cl at (0.033, 0.329, 0.099), Cl at (0.082, 0.715, 0.349), Cl at (0.250, 0.250, 0.391) and Cl at (0.250, 0.250, 0.808).

The calculation puts the formation energy without anion corrections at -346 kJ/mol of formula units.


First-principles (GGA-PBEsol) data for a relaxed structure of LiAuBr2, as listed in the Alexandria database.

The structure belongs to space group Immm (No. 71); the cell edges are 3.969, 6.686 and 7.240 Å and the angles 90.00°, 90.00° and 90.00°. Symmetry generates all atoms from Li at (0.000, 0.000, 0.000), Au at (0.000, 0.000, 0.500) and Br at (0.000, 0.500, 0.250).

The calculation puts the formation energy without anion corrections at -197 kJ/mol of formula units.


First-principles (GGA-PBEsol) data for a relaxed structure of Hf3CdSe, as listed in the Alexandria database.

The structure belongs to space group Pm-3m (No. 221); the cell edges are 5.100, 5.100 and 5.100 Å and the angles 90.00°, 90.00° and 90.00°. Symmetry generates all atoms from Hf at (0.000, 0.000, 0.500), Cd at (0.000, 0.000, 0.000) and Se at (0.500, 0.500, 0.500).

The calculation puts the formation energy without anion corrections at 584 kJ/mol of formula units.


First-principles (GGA-PBEsol) data for a relaxed structure of CaSnSb2I, as listed in the Alexandria database.

The structure belongs to space group P4/mmm (No. 123); the cell edges are 5.558, 5.558 and 5.929 Å and the angles 90.00°, 90.00° and 90.00°. Symmetry generates all atoms from Ca at (0.000, 0.000, 0.000), Sn at (0.500, 0.500, 0.500), Sb at (0.000, 0.500, 0.500) and I at (0.500, 0.500, 0.000).

The calculation puts the formation energy without anion corrections at 37 kJ/mol of formula units.


First-principles (GGA-PBEsol) data for a relaxed structure of AlCdPt2, as listed in the Alexandria database.

The structure belongs to space group R-3m (No. 166, hexagonal axes); the cell edges are 2.9176, 2.9176 and 25.7171 Å and the angles 90.00°, 90.00° and 120.00°. Symmetry generates all atoms from Al at (0.0000, 0.0000, 0.0000), Cd at (0.0000, 0.0000, 0.5000) and Pt at (0.0000, 0.0000, 0.2594).

The formation energy comes out at -0.542 eV per atom.


First-principles (GGA-PBEsol) data for a relaxed structure of Sc2TlBr2, as listed in the Alexandria database.

The structure belongs to space group I4/mmm (No. 139); the cell edges are 4.853, 4.853 and 10.264 Å and the angles 90.00°, 90.00° and 90.00°. Symmetry generates all atoms from Sc at (0.000, 0.500, 0.250), Tl at (0.000, 0.000, 0.000) and Br at (0.000, 0.000, 0.351).

The calculation puts the formation energy without anion corrections at -309 kJ/mol of formula units.


First-principles (GGA-PBEsol) data for a relaxed structure of KTl2In, as listed in the Alexandria database.

The structure belongs to space group Pm (No. 6); the cell edges are 3.423, 4.895 and 7.383 Å and the angles 90.00°, 101.47° and 90.00°. Symmetry generates all atoms from K at (0.000, 0.000, 0.000), Tl at (0.044, 0.000, 0.504), Tl at (0.591, 0.500, 0.287) and In at (0.409, 0.500, 0.712).

The formation energy comes out at -0.056 eV per atom.


First-principles (GGA-PBEsol) data for a relaxed structure of Sr2CoPt, as listed in the Alexandria database.

The structure belongs to space group P4/mmm (No. 123); the cell edges are 3.636, 3.636 and 7.150 Å and the angles 90.00°, 90.00° and 90.00°. Symmetry generates all atoms from Sr at (0.000, 0.000, 0.243), Co at (0.500, 0.500, 0.500) and Pt at (0.500, 0.500, 0.000).

The formation energy comes out at 0.079 eV per atom.


First-principles (GGA-PBEsol) data for a relaxed structure of CdOs2Cl, as listed in the Alexandria database.

The structure belongs to space group P4/mmm (No. 123); the cell edges are 3.541, 3.541 and 6.067 Å and the angles 90.00°, 90.00° and 90.00°. Symmetry generates all atoms from Cd at (0.000, 0.000, 0.000), Os at (0.000, 0.500, 0.500) and Cl at (0.500, 0.500, 0.000).

The calculation puts the formation energy without anion corrections at 467 kJ/mol of formula units.


First-principles (GGA-PBEsol) data for a relaxed structure of K2LiAl, as listed in the Alexandria database.

The structure belongs to space group I-42d (No. 122); the cell edges are 9.477, 9.477 and 6.369 Å and the angles 90.00°, 90.00° and 90.00°. Symmetry generates all atoms from K at (0.242, 0.250, 0.125), Li at (0.000, 0.000, 0.000) and Al at (0.000, 0.000, 0.500).

The formation energy comes out at 0.418 eV per atom.


First-principles (GGA-PBEsol) data for a relaxed structure of Re2Pt, as listed in the Alexandria database.

The structure belongs to space group Fd-3m (No. 227, origin choice 2); the cell edges are 7.211, 7.211 and 7.211 Å and the angles 90.00°, 90.00° and 90.00°. Symmetry generates all atoms from Re at (0.000, 0.000, 0.000) and Pt at (0.125, 0.125, 0.625).

The formation energy comes out at 0.528 eV per atom.


First-principles (GGA-PBEsol) data for a relaxed structure of Li2CaBe, as listed in the Alexandria database.

The structure belongs to space group R-3m (No. 166, hexagonal axes); the cell edges are 4.3912, 4.3912 and 14.4430 Å and the angles 90.00°, 90.00° and 120.00°. Symmetry generates all atoms from Li at (0.0000, 0.0000, 0.2127), Ca at (0.0000, 0.0000, 0.0000) and Be at (0.0000, 0.0000, 0.5000).

The formation energy comes out at 0.297 eV per atom.


no.,calculated total energy (eV per cell)
1,-77.7
2,-23.3
3,-30.5
4,-16.9
5,-64.2
6,-45.6
7,-9.6
8,-18.1
9,-22.8
10,-26.6
11,-256.4
12,-26.6